(i)
## Nb3TcSn (PBE)

Data for an optimized crystal structure of Nb3TcSn.

Values from the calculation:
* total magnetization: 0.00 μB per atom
* space group: Pm-3m, No. 221

abc: 4.824 4.824 4.824
angles: 90.00 90.00 90.00
Positions (direct):
Nb  0.000  0.000  0.500
Nb  0.000  0.500  0.000
Nb  0.500  0.000  0.000
Tc  0.000  0.000  0.000
Sn  0.500  0.500  0.500

***

(ii)
## Nb3TcSn (PBE)

Data for an optimized crystal structure of Nb3TcSn.

Values from the calculation:
* total magnetization: 0.33 μB per atom
* space group: Pm-3m, No. 221

abc: 4.985 4.985 4.985
angles: 90.00 90.00 90.00
Positions (direct):
Nb  0.000  0.000  0.500
Nb  0.000  0.500  0.000
Nb  0.500  0.000  0.000
Tc  0.500  0.500  0.500
Sn  0.000  0.000  0.000

***

Most stable to least stable: (i), (ii)

***

(i)
## NbTcSn (PBE)

Data for an optimized crystal structure of NbTcSn.

Values from the calculation:
* total magnetization: 0.00 μB per atom
* space group: I4mm, No. 107

abc: 5.444 5.444 5.444
angles: 144.85 144.85 50.56
Positions (direct):
Nb  0.000  0.000  0.000
Tc  0.647  0.647  0.000
Sn  0.314  0.314  0.000

***

(ii)
## NbTcSn (PBE)

Data for an optimized crystal structure of NbTcSn.

Values from the calculation:
* total magnetization: 0.00 μB per atom
* space group: Cmmm, No. 65

abc: 5.311 5.311 4.696
angles: 90.00 90.00 126.58
Positions (direct):
Nb  0.177  0.823  0.000
Nb  0.823  0.177  0.000
Tc  0.324  0.676  0.500
Tc  0.676  0.324  0.500
Sn  0.000  0.000  0.500
Sn  0.500  0.500  0.000

***

(iii)
## NbTcSn (PBE)

Data for an optimized crystal structure of NbTcSn.

Values from the calculation:
* total magnetization: 0.00 μB per atom
* space group: Cmcm, No. 63

abc: 6.250 6.250 4.380
angles: 90.00 90.00 140.26
Positions (direct):
Nb  0.106  0.894  0.750
Nb  0.894  0.106  0.250
Tc  0.251  0.749  0.250
Tc  0.749  0.251  0.750
Sn  0.403  0.597  0.750
Sn  0.597  0.403  0.250

***

Most stable to least stable: (i), (iii), (ii)

***

(i)
## NbTcSn (PBE)

Data for an optimized crystal structure of NbTcSn.

Values from the calculation:
* total magnetization: 0.00 μB per atom
* space group: Cm, No. 8

abc: 5.403 5.403 5.581
angles: 118.53 118.53 50.99
Positions (direct):
Nb  0.000  0.000  0.000
Nb  0.660  0.660  0.491
Tc  0.306  0.306  0.455
Tc  0.643  0.643  0.992
Sn  0.310  0.310  0.954
Sn  0.961  0.961  0.463

***

(ii)
## NbTcSn (PBE)

Data for an optimized crystal structure of NbTcSn.

Values from the calculation:
* total magnetization: 0.00 μB per atom
* space group: C2/m, No. 12

abc: 5.428 5.428 5.555
angles: 117.77 117.77 49.52
Positions (direct):
Nb  0.020  0.020  0.274
Nb  0.980  0.980  0.726
Tc  0.344  0.344  0.405
Tc  0.656  0.656  0.595
Sn  0.323  0.323  0.884
Sn  0.677  0.677  0.116

***

(iii)
## NbTcSn (PBE)

Data for an optimized crystal structure of NbTcSn.

Values from the calculation:
* total magnetization: 0.00 μB per atom
* space group: P-1, No. 2

abc: 4.844 5.031 5.383
angles: 67.95 71.11 64.34
Positions (direct):
Nb  0.140  0.421  0.247
Nb  0.860  0.579  0.753
Tc  0.442  0.735  0.257
Tc  0.558  0.265  0.743
Sn  0.214  0.919  0.748
Sn  0.786  0.081  0.252

***

(iv)
## NbTcSn (PBE)

Data for an optimized crystal structure of NbTcSn.

Values from the calculation:
* total magnetization: 0.00 μB per atom
* space group: P3m1, No. 156

abc: 4.586 4.586 2.975
angles: 90.00 90.00 120.00
Positions (direct):
Nb  0.000  0.000  0.000
Tc  0.667  0.333  0.336
Sn  0.333  0.667  0.510

***

Most stable to least stable: (ii), (i), (iii), (iv)